Computed, not measured: SmZn2GaCo after structural relaxation at the PBE level of DFT.

Cell lengths 4.121, 4.128, 10.474 Å; angles 90.00, 90.00, 90.00 degrees
Fractional coordinates of all 10 atoms:
1 Sm 0.000 0.000 0.000
2 Sm 0.500 0.500 0.500
3 Zn 0.000 0.000 0.622
4 Zn 0.000 0.500 0.249
5 Zn 0.500 0.000 0.749
6 Zn 0.500 0.500 0.122
7 Ga 0.000 0.000 0.381
8 Ga 0.500 0.500 0.881
9 Co 0.000 0.500 0.756
10 Co 0.500 0.000 0.256

**Total energy**: -37.39 eV/cell
**V**: 89.1 Å³/f.u.
**Density of states at the Fermi level**: 0.986 states/eV per atom
**Formation enthalpy at 0 K**: -259 meV per atom